Entry 1:
Material: Dy2Zn2Ag
Method: DFT, GGA-PBE
State: relaxed

Results
**Total magnetization**: 0.000 μB per atom
**Volume**: 222.3 Å³ per cell
**ΔE_f**: -296 meV/atom
**Space group**: C2/m (12)

a = 4.5682 Å, b = 5.5973 Å, c = 9.8126 Å
α = 87.78°, β = 76.54°, γ = 65.92°
With the nearest neighbours (Å) after each atom.
Sites, in units of the cell vectors:
1 Dy 0.0841 0.7253 0.1064  6 Zn 2.93-3.17
2 Dy 0.9159 0.2747 0.8936  6 Zn 2.93-3.17
3 Dy 0.3193 0.6919 0.6695  4 Ag 3.01-3.33, 7 Zn 3.16-3.29
4 Dy 0.6807 0.3081 0.3305  4 Ag 3.01-3.33, 7 Zn 3.16-3.29
5 Zn 0.0671 0.2965 0.5693  1 Zn 2.53, 2 Ag 2.64
6 Zn 0.3687 0.1519 0.1107  1 Zn 2.54, 1 Ag 2.66
7 Zn 0.9329 0.7035 0.4307  1 Zn 2.53, 2 Ag 2.64
8 Zn 0.6313 0.8481 0.8893  1 Zn 2.54, 1 Ag 2.66
9 Ag 0.6227 0.1008 0.6539  4 Zn 2.64-2.85
10 Ag 0.3773 0.8992 0.3461  4 Zn 2.64-2.85

---

Entry 2:
Material: CeNdNiPd
Method: DFT, GGA-PBE
State: relaxed

Results
**Total magnetization**: 0.180 μB per atom
**Volume**: 89.0 Å³ per cell
**ΔE_f**: -414 meV/atom
**Space group**: F-43m (216)

a = 5.0116 Å, b = 5.0116 Å, c = 5.0116 Å
α = 60.00°, β = 60.00°, γ = 60.00°
With the nearest neighbours (Å) after each atom.
Sites, in units of the cell vectors:
1 Pd 0.2500 0.2500 0.2500  4 Ce 3.07, 4 Nd 3.07
2 Ni 0.7500 0.7500 0.7500  4 Nd 3.07, 4 Ce 3.07
3 Nd 0.5000 0.5000 0.5000  4 Pd 3.07, 4 Ni 3.07
4 Ce 0.0000 0.0000 0.0000  4 Ni 3.07, 4 Pd 3.07

---

Entry 3:
Material: Rb2Tl15Hg2
Method: DFT, GGA-PBE
State: relaxed

Results
**Total magnetization**: 0.000 μB per atom
**Volume**: 645.0 Å³ per cell
**ΔE_f**: -14 meV/atom
**Space group**: R-3m (166)

a = 8.7102 Å, b = 8.7102 Å, c = 8.7102 Å
α = 82.43°, β = 82.43°, γ = 82.43°
With the nearest neighbours (Å) after each atom.
Sites, in units of the cell vectors:
1 Tl 0.0000 0.7078 0.2922  8 Tl 3.31-3.59
2 Tl 0.2922 0.7078 0.0000  8 Tl 3.31-3.59
3 Tl 0.6462 0.1509 0.6462  8 Tl 3.34-3.59, 1 Hg 3.65
4 Tl 0.8491 0.3538 0.3538  8 Tl 3.34-3.59, 1 Hg 3.65
5 Tl 0.1509 0.6462 0.6462  8 Tl 3.34-3.59, 1 Hg 3.65
6 Tl 0.7078 0.0000 0.2922  8 Tl 3.31-3.59
7 Tl 0.5000 0.0000 0.0000  8 Tl 3.31-3.34, 2 Hg 3.51
8 Tl 0.3538 0.3538 0.8491  8 Tl 3.34-3.59, 1 Hg 3.65
9 Tl 0.0000 0.0000 0.5000  8 Tl 3.31-3.34, 2 Hg 3.51
10 Tl 0.6462 0.6462 0.1509  8 Tl 3.34-3.59, 1 Hg 3.65
11 Tl 0.0000 0.2922 0.7078  8 Tl 3.31-3.59
12 Tl 0.2922 0.0000 0.7078  8 Tl 3.31-3.59
13 Tl 0.0000 0.5000 0.0000  8 Tl 3.31-3.34, 2 Hg 3.51
14 Tl 0.7078 0.2922 0.0000  8 Tl 3.31-3.59
15 Tl 0.3538 0.8491 0.3538  8 Tl 3.34-3.59, 1 Hg 3.65
16 Rb 0.6667 0.6667 0.6667  1 Hg 3.98, 15 Tl 4.08-4.36
17 Rb 0.3333 0.3333 0.3333  1 Hg 3.98, 15 Tl 4.08-4.36
18 Hg 0.0989 0.0989 0.0989  1 Hg 3.35, 12 Tl 3.51-3.75
19 Hg 0.9011 0.9011 0.9011  1 Hg 3.35, 12 Tl 3.51-3.75

---

Entry 4:
Material: P2PbOF
Method: DFT, GGA-PBE
State: relaxed

Results
**Uncorrected formation energy**: 51.8 kJ/mol of atoms
**Total magnetization**: 0.000 μB per atom
**Volume**: 100.9 Å³ per cell
**Excess energy over the best structure of this formula in the dataset**: 10.1 kJ/mol of atoms
**Space group**: P4/mmm (123)

a = 3.9698 Å, b = 6.4001 Å, c = 3.9698 Å
α = 90.00°, β = 90.00°, γ = 90.00°
With the nearest neighbours (Å) after each atom.
Sites, in units of the cell vectors:
1 P 0.5000 0.0000 0.0000  2 F 1.98
2 P 0.0000 0.0000 0.5000  2 F 1.98
3 F 0.0000 0.0000 0.0000  4 P 1.98
4 O 0.5000 0.5000 0.5000  4 Pb 2.81
5 Pb 0.0000 0.5000 0.0000  4 O 2.81

---

Entry 5:
Material: Er3Pd8
Method: DFT, GGA-PBE
State: relaxed

Results
**Total magnetization**: 0.000 μB per atom
**Volume**: 228.0 Å³ per cell
**ΔE_f**: -428 meV/atom
**Space group**: R-3 (148)

a = 6.1596 Å, b = 6.1596 Å, c = 6.1596 Å
α = 97.02°, β = 97.02°, γ = 97.02°
With the nearest neighbours (Å) after each atom.
Sites, in units of the cell vectors:
1 Pd 0.3128 0.0699 0.9591  4 Pd 2.57-2.83, 1 Er 2.73
2 Pd 0.6872 0.9301 0.0409  4 Pd 2.57-2.83, 1 Er 2.73
3 Pd 0.9591 0.3128 0.0699  4 Pd 2.57-2.83, 1 Er 2.73
4 Pd 0.9301 0.0409 0.6872  4 Pd 2.57-2.83, 1 Er 2.73
5 Pd 0.6402 0.6402 0.6402  4 Pd 2.60-2.83, 3 Er 2.68
6 Pd 0.0699 0.9591 0.3128  4 Pd 2.57-2.83, 1 Er 2.73
7 Pd 0.0409 0.6872 0.9301  4 Pd 2.57-2.83, 1 Er 2.73
8 Pd 0.3598 0.3598 0.3598  4 Pd 2.60-2.83, 3 Er 2.68
9 Er 0.0000 0.5000 0.5000  4 Pd 2.68-2.73
10 Er 0.5000 0.0000 0.5000  4 Pd 2.68-2.73
11 Er 0.5000 0.5000 0.0000  4 Pd 2.68-2.73

---

Entry 6:
Material: Ca2HRh
Method: DFT, GGA-PBE
State: relaxed

Results
**Total magnetization**: 0.000 μB per atom
**Volume**: 154.1 Å³ per cell
**Excess energy over the best structure of this formula in the dataset**: 0.0 kJ/mol of atoms
**Space group**: Pmmn (59)

a = 3.8413 Å, b = 4.9273 Å, c = 8.1420 Å
α = 90.00°, β = 90.00°, γ = 90.00°
With the nearest neighbours (Å) after each atom.
Sites, in units of the cell vectors:
1 Ca 0.7500 0.2500 0.8800  2 H 2.62
2 Ca 0.7500 0.7500 0.4756  1 H 2.39
3 Ca 0.2500 0.7500 0.1200  2 H 2.62
4 Ca 0.2500 0.2500 0.5244  1 H 2.39
5 H 0.2500 0.2501 0.2304  2 Rh 1.92
6 H 0.7500 0.7499 0.7696  2 Rh 1.92
7 Rh 0.7500 0.2500 0.2459  2 H 1.92
8 Rh 0.2500 0.7500 0.7541  2 H 1.92

---

Entry 7:
Material: LaAlHg
Method: DFT, GGA-PBE
State: relaxed

Results
**Total magnetization**: 0.000 μB per atom
**Volume**: 231.4 Å³ per cell
**ΔE_f**: -474 meV/atom
**Space group**: P-6m2 (187)

a = 4.7766 Å, b = 4.7766 Å, c = 11.7124 Å
α = 90.00°, β = 90.00°, γ = 120.00°
With the nearest neighbours (Å) after each atom.
Sites, in units of the cell vectors:
1 La 0.0000 0.0000 0.0000  6 Al 3.24, 6 Hg 3.47
2 La 0.0000 0.0000 0.6692  6 Hg 3.27-3.40, 6 Al 3.40-3.51
3 La 0.0000 0.0000 0.3308  6 Hg 3.27-3.40, 6 Al 3.40-3.51
4 Al 0.6667 0.3333 0.1452  3 Hg 2.79
5 Al 0.6667 0.3333 0.8548  3 Hg 2.79
6 Al 0.3333 0.6667 0.5000  3 Hg 2.76
7 Hg 0.6667 0.3333 0.5000  3 Al 2.76
8 Hg 0.3333 0.6667 0.8198  3 Al 2.79
9 Hg 0.3333 0.6667 0.1802  3 Al 2.79

---

Entry 8:
Material: Zn4GeAu5
Method: DFT, GGA-PBE
State: relaxed

Results
**Total magnetization**: 0.000 μB per atom
**Volume**: 167.5 Å³ per cell
**ΔE_f**: -137 meV/atom
**Space group**: P4/mmm (123)

a = 3.2339 Å, b = 3.2339 Å, c = 16.0201 Å
α = 90.00°, β = 90.00°, γ = 90.00°
With the nearest neighbours (Å) after each atom.
Sites, in units of the cell vectors:
1 Zn 0.0000 0.0000 0.4022  8 Au 2.77
2 Zn 0.0000 0.0000 0.7915  8 Au 2.76-2.77
3 Zn 0.0000 0.0000 0.2085  8 Au 2.76-2.77
4 Zn 0.0000 0.0000 0.5978  8 Au 2.77
5 Au 0.5000 0.5000 0.1113  4 Zn 2.77, 4 Ge 2.90
6 Au 0.5000 0.5000 0.6952  8 Zn 2.76-2.77
7 Au 0.5000 0.5000 0.5000  8 Zn 2.77
8 Au 0.5000 0.5000 0.3048  8 Zn 2.76-2.77
9 Au 0.5000 0.5000 0.8887  4 Zn 2.77, 4 Ge 2.90
10 Ge 0.0000 0.0000 0.0000  8 Au 2.90, 4 Ge 3.23

---

Entry 9:
Material: SeBr2
Method: DFT, GGA-PBE
State: relaxed

Results
**Uncorrected formation energy**: 7.2 kJ/mol of atoms
**Total magnetization**: 0.000 μB per atom
**Volume**: 252.2 Å³ per cell
**Excess energy over the best structure of this formula in the dataset**: 8.0 kJ/mol of atoms
**Space group**: C2/c (15)

a = 6.9471 Å, b = 6.9471 Å, c = 7.5063 Å
α = 126.15°, β = 118.83°, γ = 80.88°
With the nearest neighbours (Å) after each atom.
Sites, in units of the cell vectors:
1 Se 0.6674 0.9174 0.7500  2 Br 2.46
2 Se 0.3326 0.0826 0.2500  2 Br 2.46
3 Br 0.0523 0.3259 0.1687  1 Se 2.46
4 Br 0.6573 0.8837 0.3313  1 Se 2.46
5 Br 0.3427 0.1163 0.6687  1 Se 2.46
6 Br 0.9477 0.6741 0.8313  1 Se 2.46

---

Entry 10:
Material: Sm2Ho2Hg7
Method: DFT, GGA-PBE
State: relaxed

Results
**Total magnetization**: 0.000 μB per atom
**Volume**: 323.5 Å³ per cell
**ΔE_f**: -143 meV/atom
**Space group**: Cmmm (65)

a = 6.7546 Å, b = 7.8270 Å, c = 6.7546 Å
α = 90.00°, β = 115.05°, γ = 90.00°
With the nearest neighbours (Å) after each atom.
Sites, in units of the cell vectors:
1 Sm 0.2456 0.5000 0.2456  6 Hg 3.06-3.21
2 Sm 0.7544 0.5000 0.7544  6 Hg 3.06-3.21
3 Hg 0.4998 0.1881 0.5002  1 Hg 2.94, 2 Ho 3.05, 2 Sm 3.06
4 Hg 0.0002 0.6888 0.4997  1 Hg 2.96, 2 Ho 3.04, 2 Sm 3.21
5 Hg 0.0000 0.0000 0.0000  2 Ho 3.02
6 Hg 0.4997 0.3112 0.0002  1 Hg 2.96, 2 Ho 3.04, 2 Sm 3.21
7 Hg 0.5003 0.6888 0.9998  1 Hg 2.96, 2 Ho 3.04, 2 Sm 3.21
8 Hg 0.5002 0.8119 0.4998  1 Hg 2.94, 2 Ho 3.05, 2 Sm 3.06
9 Hg 0.9998 0.3112 0.5003  1 Hg 2.96, 2 Ho 3.04, 2 Sm 3.21
10 Ho 0.2654 0.0000 0.7346  7 Hg 3.02-3.05
11 Ho 0.7346 0.0000 0.2654  7 Hg 3.02-3.05

---

Entry 11:
Material: Ac2Zn2In
Method: DFT, GGA-PBE
State: relaxed

Results
**Total magnetization**: 0.000 μB per atom
**Volume**: 141.7 Å³ per cell
**Excess energy over the best structure of this formula in the dataset**: 0.0 kJ/mol of atoms
**ΔE_f**: -330 meV/atom
**Space group**: Immm (71)

a = 4.5553 Å, b = 6.2936 Å, c = 6.2937 Å
α = 59.78°, β = 68.79°, γ = 68.78°
With the nearest neighbours (Å) after each atom.
Sites, in units of the cell vectors:
1 Ac 0.2935 0.2065 0.7064  6 Zn 3.36-3.40, 4 In 3.70-3.75
2 Ac 0.7065 0.7935 0.2936  6 Zn 3.36-3.40, 4 In 3.70-3.75
3 Zn 0.0000 0.7789 0.7211  1 Zn 2.77, 2 In 2.87
4 Zn 0.0000 0.2211 0.2789  1 Zn 2.77, 2 In 2.87
5 In 0.5000 0.5000 0.0000  4 Zn 2.87

---

Entry 12:
Material: AcEuZnBi
Method: DFT, GGA-PBE
State: relaxed

Results
**Total magnetization**: 1.968 μB per atom
**Volume**: 128.9 Å³ per cell
**ΔE_f**: -475 meV/atom
**Space group**: F-43m (216)

a = 5.6699 Å, b = 5.6699 Å, c = 5.6699 Å
α = 60.00°, β = 60.00°, γ = 60.00°
With the nearest neighbours (Å) after each atom.
Sites, in units of the cell vectors:
1 Zn 0.5000 0.5000 0.5000  4 Eu 3.47, 4 Ac 3.47
2 Ac 0.7500 0.7500 0.7500  4 Bi 3.47, 4 Zn 3.47
3 Eu 0.2500 0.2500 0.2500  4 Bi 3.47, 4 Zn 3.47
4 Bi 0.0000 0.0000 0.0000  4 Ac 3.47, 4 Eu 3.47

---

What did the twelfth record say?
Material: AcEuZnBi
Method: DFT, GGA-PBE
State: relaxed

Results
**Total magnetization**: 1.968 μB per atom
**Volume**: 128.9 Å³ per cell
**ΔE_f**: -475 meV/atom
**Space group**: F-43m (216)

a = 5.6699 Å, b = 5.6699 Å, c = 5.6699 Å
α = 60.00°, β = 60.00°, γ = 60.00°
With the nearest neighbours (Å) after each atom.
Sites, in units of the cell vectors:
1 Zn 0.5000 0.5000 0.5000  4 Eu 3.47, 4 Ac 3.47
2 Ac 0.7500 0.7500 0.7500  4 Bi 3.47, 4 Zn 3.47
3 Eu 0.2500 0.2500 0.2500  4 Bi 3.47, 4 Zn 3.47
4 Bi 0.0000 0.0000 0.0000  4 Ac 3.47, 4 Eu 3.47

---

Question: Number 9 is which compound?
Answer: SeBr2